PBE-GGA Mo2PBr, optimized geometry; N(E_F) = 4.51 states/eV per cell; E above lowest polymorph = 2.04 eV/f.u.; M_tot = 0.00 μB per formula unit; energy relative to the elements, uncorrected = 0.55 eV/atom; total energy = -6.63 eV/atom
1.0
-1.0450 4.4698 2.0648
-5.0270 0.0795 0.2395
3.9467 -2.5539 1.7989
Br Mo P
1 2 1
direct
0.2500 0.7500 0.5000 Br
0.9482 0.9482 0.0000 Mo
0.5518 0.5518 0.0000 Mo
0.7500 0.2500 0.5000 P